Entry 1:
First-principles (PBE) data for a relaxed structure of ScPaBi, as listed in Alexandria via LeMat-Bulk.

Lattice parameters (Å, degrees): 3.7948 3.7948 11.1346 90.00 90.00 90.00
Closest atoms and distances in Å follow each position.
Space group I4mm (No. 107)
Inequivalent atoms, fractional coordinates:
Sc: 0.0000 0.0000 0.0000  4 Bi 3.07, 4 Pa 3.39
Pa: 0.0000 0.0000 0.3146  5 Bi 3.35-3.56, 5 Sc 3.39-3.50
Bi: 0.0000 0.0000 0.6342  4 Sc 3.07, 4 Pa 3.35

## Properties
Energy of formation in eV per atom: -0.02
Crystal system: tetragonal
Mass density in g/cm³: 10.045

---

Entry 2:
First-principles (PBE) data for a relaxed structure of Pr2GdAl, as listed in Alexandria via LeMat-Bulk.

Lattice parameters (Å, degrees): 7.7837 7.7837 7.7837 90.00 90.00 90.00
Closest atoms and distances in Å follow each position.
Space group Fm-3m (No. 225)
Inequivalent atoms, fractional coordinates:
Pr: 0.2500 0.2500 0.2500  4 Gd 3.37, 4 Al 3.37
Gd: 0.0000 0.0000 0.0000  8 Pr 3.37
Al: 0.0000 0.0000 0.5000  8 Pr 3.37

## Properties
Energy of formation in eV per atom: -0.07
Crystal system: cubic
Mass density in g/cm³: 6.564

---

Entry 3:
First-principles (PBE) data for a relaxed structure of Re2SCl8, as listed in Alexandria via LeMat-Bulk.

Lattice parameters (Å, degrees): 8.2672 11.2158 7.4765 90.00 90.79 90.00
Closest atoms and distances in Å follow each position.
Space group C2/m (No. 12)
Inequivalent atoms, fractional coordinates:
Re: 0.0944 0.0000 0.2654  1 S 2.12, 3 Cl 2.28-2.30
S: 0.0000 0.0000 0.0000  2 Re 2.12
Cl: 0.0865 0.2037 0.3017  1 Re 2.30
Cl: 0.1365 0.5000 0.7954  1 Re 2.28
Cl: 0.1757 0.0000 0.5963  2 Re 2.47-2.55

## Properties
Crystal system: monoclinic
Mass density in g/cm³: 3.297
Formation energy from raw total energies in eV per formula unit: -5.87

---

Entry 4:
First-principles (PBE) data for a relaxed structure of CoReSi2, as listed in Alexandria via LeMat-Bulk.

Lattice parameters (Å, degrees): 2.8188 2.8188 22.8539 90.00 90.00 120.00
Closest atoms and distances in Å follow each position.
Space group R3m (No. 160, hexagonal axes)
Inequivalent atoms, fractional coordinates:
Co: 0.0000 0.0000 0.0000  3 Si 2.32
Re: 0.0000 0.0000 0.7574  3 Si 2.51, 3 Co 2.64
Si: 0.0000 0.0000 0.2612  3 Co 2.32, 3 Si 2.56
Si: 0.0000 0.0000 0.5079  3 Re 2.51, 3 Si 2.56

## Properties
Crystal system: trigonal
Mass density in g/cm³: 9.545
Formation energy from raw total energies in eV per formula unit: 0.14

---

Entry 5:
First-principles (PBE) data for a relaxed structure of BeFeAs2, as listed in Alexandria via LeMat-Bulk.

Lattice parameters (Å, degrees): 3.4056 4.6821 7.1918 90.00 90.00 90.00
Closest atoms and distances in Å follow each position.
Space group Cmmm (No. 65)
Inequivalent atoms, fractional coordinates:
Be: 0.0000 0.0000 0.0000  4 As 2.43
Fe: 0.0000 0.0000 0.5000  4 As 2.53
As: 0.0000 0.5000 0.2407  2 Be 2.43, 2 Fe 2.53

## Properties
Energy of formation in eV per atom: 0.38
Crystal system: orthorhombic
Mass density in g/cm³: 6.218

---

Entry 6:
First-principles (PBE) data for a relaxed structure of ReC, as listed in Alexandria via LeMat-Bulk.

Lattice parameters (Å, degrees): 4.5256 4.5256 4.5256 90.00 90.00 90.00
Closest atoms and distances in Å follow each position.
Space group P2_13 (No. 198)
Inequivalent atoms, fractional coordinates:
Re: 0.1890 0.1890 0.1890  4 C 2.01-2.08
C: 0.0544 0.5544 0.9456  4 Re 2.01-2.08

## Properties
Energy of formation in eV per atom: 0.70
Crystal system: cubic
Mass density in g/cm³: 14.204